DFT (GGA+U) results for a relaxed MnP2RuO crystal.

Cell: 4.6647 4.6647 3.4490 Å, 90.00 90.00 90.00°
Site moments in Bohr magnetons follow the coordinates.
Sites, in units of the cell vectors:
Mn1 0.0000 0.0000 0.0000  3.20
Ru1 0.5000 0.5000 0.5000  -0.67
O1 0.0000 0.0000 0.5000  -0.13
P1 0.0000 0.5000 0.0000  -0.12
P2 0.5000 0.0000 0.0000  -0.12

Calculated values
The value obtained for the energy relative to the lowest polymorph listed for this composition is 0 meV/atom.